(1)
DFT (GGA-PBE) results for a relaxed Dy2PaSi6 crystal.

Cell and atoms, written as POSCAR:
```
Dy2PaSi6
1.0
3.943 0.000 0.000
0.000 6.102 -3.523
0.000 0.000 7.046
Dy Pa Si
2 1 6
direct
0.000 0.333 0.667 Dy
0.000 0.667 0.333 Dy
0.000 0.000 0.000 Pa
0.500 0.668 0.668 Si
0.500 0.000 0.668 Si
0.500 0.332 0.000 Si
0.500 0.668 0.000 Si
0.500 0.000 0.332 Si
0.500 0.332 0.332 Si
```

Calculated values
**Space-group type**: No. 191
**Crystal system**: hexagonal

(2)
DFT (GGA-PBE) results for a relaxed DyPaSi2 crystal.

Cell and atoms, written as POSCAR:
```
DyPaSi2
1.0
-2.224 1.720 3.551
0.842 -1.556 4.169
3.193 3.582 3.153
Pa Dy Si
1 1 2
direct
0.500 0.500 0.500 Pa
0.000 0.000 0.000 Dy
0.750 0.750 0.749 Si
0.250 0.250 0.251 Si
```

Calculated values
**Space-group type**: No. 166
**Crystal system**: trigonal

(3)
DFT (GGA-PBE) results for a relaxed DyPaSi4 crystal.

Cell and atoms, written as POSCAR:
```
DyPaSi4
1.0
5.298 0.000 0.000
2.649 4.588 0.000
2.649 1.529 4.326
Si Dy Pa
4 1 1
direct
0.118 0.627 0.627 Si
0.627 0.627 0.118 Si
0.627 0.627 0.627 Si
0.627 0.118 0.627 Si
0.000 0.000 0.000 Dy
0.250 0.250 0.250 Pa
```

Calculated values
**Space-group type**: No. 216
**Crystal system**: cubic
**Relative energy among the computed polymorphs**: 0.52 eV per formula unit

(4)
DFT (GGA-PBE) results for a relaxed DyPa2Si crystal.

Cell and atoms, written as POSCAR:
```
DyPa2Si
1.0
4.906 0.000 0.000
0.000 4.312 0.000
0.000 0.000 4.312
Dy Si Pa
1 1 2
direct
0.500 0.500 0.500 Dy
0.500 0.000 0.000 Si
0.000 0.500 0.000 Pa
0.000 0.000 0.500 Pa
```

Calculated values
**Space-group type**: No. 123
**Crystal system**: tetragonal
**Relative energy among the computed polymorphs**: 0.00 eV per formula unit

Results for calculated density: 7.10; 8.22; 7.99; 11.88 (in g cm⁻³, following the order of the records).
Results for E_form (uncorrected): -0.55; -0.42; -0.27; -0.18 (in eV per atom, following the order of the records).